Record 1
Below is a relaxed Ga2PRuBr crystal, with properties calculated at the PBE level. Values from VASP.

Structure (Quantum ESPRESSO input):
```
&SYSTEM
  ibrav = 0, nat = 5, ntyp = 4
/
ATOMIC_SPECIES
Ru 101.07 Ru.upf
Ga 69.72 Ga.upf
Br 79.90 Br.upf
P 30.97 P.upf
ATOMIC_POSITIONS angstrom
Ru 2.402 2.495 2.402
Ga 2.402 0.000 0.000
Ga 0.000 0.000 2.402
Br 0.000 2.495 0.000
P 0.000 0.000 0.000
CELL_PARAMETERS angstrom
4.803 0.000 0.000
0.000 4.990 0.000
0.000 0.000 4.803
```

---

Record 2
! PBE BaBeCu2, optimized geometry; values from VASP
! Formation energy from the elements: 0.336 eV per atom
&SYSTEM
  ibrav = 0, nat = 4, ntyp = 3
/
ATOMIC_SPECIES
Ba 137.33 Ba.upf
Cu 63.55 Cu.upf
Be 9.01 Be.upf
ATOMIC_POSITIONS angstrom
Ba 3.120 -0.506 1.651
Cu 2.263 2.143 0.000
Cu 0.522 0.494 0.000
Be 0.659 2.094 1.624
CELL_PARAMETERS angstrom
5.247 0.038 0.027
0.324 5.237 -0.027
-1.792 -3.687 3.275

---

Record 3
Below is a relaxed Pu2CrH5 crystal, with properties calculated at the PBE level. Values from VASP.

Structure (Quantum ESPRESSO input):
```
&SYSTEM
  ibrav = 0, nat = 8, ntyp = 3
/
ATOMIC_SPECIES
H 1.01 H.upf
Cr 52.00 Cr.upf
Pu 244.00 Pu.upf
ATOMIC_POSITIONS angstrom
H 2.437 2.437 1.803
H 1.232 1.232 0.031
H 3.643 3.643 0.030
H 3.643 1.232 0.030
H 1.232 3.643 0.031
Cr 0.000 0.000 0.039
Pu 0.000 2.437 1.781
Pu 2.437 0.000 1.780
CELL_PARAMETERS angstrom
4.874 0.000 0.000
0.000 4.874 0.000
-2.437 -2.437 3.556
```

---

Record 4
! PBE Ac3PtAu4, optimized geometry; values from VASP
! Formation energy from the elements: -0.670 eV per atom
&SYSTEM
  ibrav = 0, nat = 8, ntyp = 3
/
ATOMIC_SPECIES
Au 196.97 Au.upf
Ac 227.00 Ac.upf
Pt 195.08 Pt.upf
ATOMIC_POSITIONS angstrom
Au 0.000 0.617 2.059
Au 2.154 0.569 9.974
Au 0.000 0.007 8.086
Au 2.154 1.178 3.946
Ac 2.154 2.119 7.081
Ac 0.000 2.212 -0.662
Ac 0.000 -0.934 4.952
Pt 2.154 0.000 0.000
CELL_PARAMETERS angstrom
4.308 0.000 0.000
0.000 4.424 -1.325
-2.154 -3.238 13.357

---

Record 5
Below is a relaxed NaH4I crystal, with properties calculated at the PBE level. Values from VASP.

Structure (Quantum ESPRESSO input):
```
&SYSTEM
  ibrav = 0, nat = 6, ntyp = 3
/
ATOMIC_SPECIES
I 126.90 I.upf
H 1.01 H.upf
Na 22.99 Na.upf
ATOMIC_POSITIONS angstrom
I -0.172 -1.351 2.794
H 0.955 2.086 1.116
H 4.585 1.084 1.513
H 1.253 1.568 1.576
H 4.883 0.566 1.972
Na 0.000 0.000 0.000
CELL_PARAMETERS angstrom
8.715 2.570 -0.182
-2.534 2.783 -2.317
-0.343 -2.701 5.587
```

---

Record 6
Below is a relaxed Si2AgHg crystal, with properties calculated at the PBE level. Values from VASP.

Structure (Quantum ESPRESSO input):
```
&SYSTEM
  ibrav = 0, nat = 4, ntyp = 3
/
ATOMIC_SPECIES
Si 28.09 Si.upf
Ag 107.87 Ag.upf
Hg 200.59 Hg.upf
ATOMIC_POSITIONS angstrom
Si 2.318 -1.273 0.411
Si 3.720 0.369 -0.582
Ag 0.928 -1.887 -1.708
Hg 3.210 -3.579 -1.078
CELL_PARAMETERS angstrom
-0.426 -2.084 -4.046
3.755 0.788 -0.801
0.809 -4.170 2.062
```

---

Number 1: total energy -3.472 eV per atom. Number 2: total energy -3.125 eV per atom. Number 3: total energy -7.122 eV per atom. Number 4: total energy -4.605 eV per atom. Number 5: total energy -3.118 eV per atom. Number 6: total energy -3.138 eV per atom.